# 1
Entry from Alexandria via LeMat-Bulk: a relaxed Ba2FeCl crystal (PBE).

## Properties
Symmetry: C2/m (12)
Energy relative to the lowest polymorph listed for this composition (eV per atom): 0.235

a b c (Å): 5.7807 5.7807 5.0593
angles (deg): 115.88 115.88 89.60
Closest atoms and distances in Å follow each position.
Positions (direct):
Ba1 0.2499 0.7501 0.0000  2 Fe 3.25, 2 Cl 3.25
Ba2 0.7501 0.2499 0.0000  2 Fe 3.25, 2 Cl 3.25
Fe1 0.0000 0.0000 0.5000  4 Ba 3.25
Cl1 0.5000 0.5000 0.5000  4 Ba 3.25

---

# 2
Entry from Alexandria via LeMat-Bulk: a relaxed BaAlVH2 crystal (PBE).

## Properties
Symmetry: P4/mmm (123)

a b c (Å): 4.4342 4.4342 6.8212
angles (deg): 90.00 90.00 90.00
Closest atoms and distances in Å follow each position.
Positions (direct):
Ba1 0.0000 0.0000 0.0000  4 H 2.22
Al1 0.5000 0.5000 0.5000  4 V 3.14
V1 0.0000 0.0000 0.5000  4 Al 3.14, 2 Ba 3.41
H1 0.0000 0.5000 0.0000  2 Ba 2.22
H2 0.5000 0.0000 0.0000  2 Ba 2.22

---

# 3
Entry from Alexandria via LeMat-Bulk: a relaxed Cs3CaTl2Br6 crystal (PBE).

## Properties
Symmetry: C2/m (12)

a b c (Å): 8.4984 8.4984 8.6102
angles (deg): 105.45 105.45 107.79
Closest atoms and distances in Å follow each position.
Positions (direct):
Cs1 0.0000 0.0000 0.0000  4 Br 3.62
Cs2 0.3175 0.6825 0.0000  6 Br 3.55-3.66
Cs3 0.6825 0.3175 0.0000  6 Br 3.55-3.66
Ca1 0.5000 0.5000 0.5000  6 Br 2.93-2.96
Tl1 0.1355 0.8645 0.5000  4 Br 3.37-3.51, 1 Tl 3.72
Tl2 0.8645 0.1355 0.5000  4 Br 3.37-3.51, 1 Tl 3.72
Br1 0.1525 0.4653 0.2713  1 Ca 2.96
Br2 0.3136 0.3136 0.6827  1 Ca 2.93
Br3 0.4653 0.1525 0.2713  1 Ca 2.96
Br4 0.5347 0.8475 0.7287  1 Ca 2.96
Br5 0.6864 0.6864 0.3173  1 Ca 2.93
Br6 0.8475 0.5347 0.7287  1 Ca 2.96

---

# 4
Entry from Alexandria via LeMat-Bulk: a relaxed Ce2TcPC crystal (PBE).

## Properties
Symmetry: P2_1/m (11)
Energy of formation from the pure elements (meV/atom): -606.3

a b c (Å): 6.7728 3.7634 8.1714
angles (deg): 90.00 111.91 90.00
Closest atoms and distances in Å follow each position.
Positions (direct):
Ce1 0.2030 0.2500 0.4119  1 Tc 2.48, 2 C 2.59
Ce2 0.2418 0.7500 0.0156  3 C 2.44-2.69
Ce3 0.7582 0.2500 0.9844  3 C 2.44-2.69
Ce4 0.7970 0.7500 0.5881  1 Tc 2.48, 2 C 2.59
Tc1 0.2260 0.2500 0.7216  1 C 2.03
Tc2 0.7740 0.7500 0.2784  1 C 2.03
P1 0.4558 0.7500 0.7322  2 Tc 2.42
P2 0.5442 0.2500 0.2678  2 Tc 2.42
C1 0.0168 0.7500 0.1894  1 Tc 2.03
C2 0.9832 0.2500 0.8106  1 Tc 2.03

---

# 5
Entry from Alexandria via LeMat-Bulk: a relaxed MgCu4H8C2O10 crystal (PBE).

## Properties
Symmetry: P1 (1)

a b c (Å): 6.1981 6.3149 7.4342
angles (deg): 112.08 96.95 90.50
Closest atoms and distances in Å follow each position.
Positions (direct):
Mg1 0.0000 0.0000 0.0000  5 O 1.99-2.12
Cu1 0.0242 0.5749 0.0411  2 O 1.92
Cu2 0.3283 0.3557 0.1548  4 O 1.97-2.13
Cu3 0.5506 0.8589 0.1640  5 O 2.02-2.22
Cu4 0.8004 0.3999 0.2043  3 O 1.92-2.12
H1 0.1032 0.2149 0.7702  1 O 1.01
H2 0.1030 0.2440 0.3809  1 O 0.99
H3 0.2978 0.7031 0.8448  1 O 0.98
H4 0.3963 0.9984 0.6992  1 C 1.11
H5 0.5592 0.4585 0.9315  1 O 0.99
H6 0.5626 0.2681 0.4134  1 O 1.00
H7 0.7727 0.6055 0.5307  1 C 1.12
H8 0.9640 0.9228 0.3169  1 O 0.99
C1 0.3151 0.9707 0.5494  1 H 1.11
C2 0.6973 0.6363 0.6675  1 H 1.12
O1 0.0749 0.2875 0.2656  1 H 0.99
O2 0.0780 0.2587 0.9109  1 H 1.01
O3 0.1474 0.0870 0.5409  1 C 1.29
O4 0.2442 0.7883 0.9687  1 H 0.98
O5 0.3935 0.8289 0.4069  1 C 1.26
O6 0.5582 0.5044 0.0744  1 H 0.99
O7 0.5638 0.2047 0.2688  1 H 1.00
O8 0.5727 0.4784 0.6693  1 C 1.26
O9 0.7469 0.8298 0.8058  1 C 1.27
O10 0.8868 0.8488 0.1816  1 H 0.99

---

# 6
Entry from Alexandria via LeMat-Bulk: a relaxed LaPm3NdDy crystal (PBE).

## Properties
Symmetry: P2_1/m (11)
Energy of formation from the pure elements (meV/atom): 18.6

a b c (Å): 8.1615 5.1851 10.3316
angles (deg): 90.00 108.43 90.00
Closest atoms and distances in Å follow each position.
Positions (direct):
La1 0.1665 0.2500 0.2902  8 Pm 3.65-3.69, 3 Nd 3.66-3.68, 1 Dy 3.68
La2 0.8335 0.7500 0.7098  8 Pm 3.65-3.69, 3 Nd 3.66-3.68, 1 Dy 3.68
Pm1 0.1678 0.7500 0.5440  1 Dy 3.64, 3 Nd 3.65-3.68, 3 La 3.65-3.69, 5 Pm 3.65-3.70
Pm2 0.1696 0.2500 0.7935  3 Dy 3.62-3.63, 1 Nd 3.62, 6 Pm 3.64-3.70, 2 La 3.67
Pm3 0.1703 0.7500 0.0405  3 Dy 3.58-3.65, 1 Nd 3.63, 5 Pm 3.64-3.70, 3 La 3.65-3.66
Pm4 0.8297 0.2500 0.9595  3 Dy 3.58-3.65, 1 Nd 3.63, 5 Pm 3.64-3.70, 3 La 3.65-3.66
Pm5 0.8304 0.7500 0.2065  3 Dy 3.62-3.63, 1 Nd 3.62, 6 Pm 3.64-3.70, 2 La 3.67
Pm6 0.8322 0.2500 0.4560  1 Dy 3.64, 3 Nd 3.65-3.68, 3 La 3.65-3.69, 5 Pm 3.65-3.70
Nd1 0.4996 0.2500 0.6276  5 Pm 3.62-3.68, 3 La 3.66-3.68, 2 Dy 3.66, 2 Nd 3.70
Nd2 0.5004 0.7500 0.3724  5 Pm 3.62-3.68, 3 La 3.66-3.68, 2 Dy 3.66, 2 Nd 3.70
Dy1 0.4972 0.7500 0.8773  7 Pm 3.58-3.65, 2 Dy 3.62, 2 Nd 3.66, 1 La 3.68
Dy2 0.5028 0.2500 0.1227  7 Pm 3.58-3.65, 2 Dy 3.62, 2 Nd 3.66, 1 La 3.68

---

# 7
Entry from Alexandria via LeMat-Bulk: a relaxed K2NaSrCu crystal (PBE).

## Properties
Symmetry: P4/mmm (123)
Energy of formation from the pure elements (meV/atom): 916.1

a b c (Å): 7.8428 7.8428 6.8230
angles (deg): 90.00 90.00 90.00
Closest atoms and distances in Å follow each position.
Positions (direct):
K1 0.0000 0.5000 0.0000  2 Sr 3.92
K2 0.5000 0.0000 0.0000  2 Sr 3.92
Na1 0.0000 0.0000 0.5000  2 Sr 3.41
Sr1 0.0000 0.0000 0.0000  2 Na 3.41
Cu1 0.5000 0.5000 0.5000  8 K 5.20, 4 Na 5.55

---

# 8
Entry from Alexandria via LeMat-Bulk: a relaxed CeGdLuTl crystal (PBE).

## Properties
Symmetry: F-43m (216)
Energy of formation from the pure elements (meV/atom): 28.7

a b c (Å): 5.4264 5.4264 5.4264
angles (deg): 60.00 60.00 60.00
Closest atoms and distances in Å follow each position.
Positions (direct):
Ce1 0.0000 0.0000 0.0000  4 Gd 3.32, 4 Lu 3.32
Gd1 0.7500 0.7500 0.7500  4 Tl 3.32, 4 Ce 3.32
Lu1 0.2500 0.2500 0.2500  4 Tl 3.32, 4 Ce 3.32
Tl1 0.5000 0.5000 0.5000  4 Gd 3.32, 4 Lu 3.32

---

no.,VASP energy (eV/cell),DOS(E_F) (states/eV/atom)
1,-15.0,1.3902
2,-16.5,1.0644
3,-36.3,0.1814
4,-79.8,0.7539
5,-135.7,0.1706
6,-56.9,1.5490
7,-4.7,1.7403
8,-26.8,2.2091